Material: Ho2Zr
Method: DFT, GGA-PBE
State: optimized geometry

Unit cell a=8.8294 b=8.8294 c=8.8294 alpha=90.00 beta=90.00 gamma=90.00
Space group Fd-3m (No. 227, origin choice 2)
Asymmetric unit:
1 Ho 0.0000 0.0000 0.0000 x16
2 Zr 0.1250 0.1250 0.6250 x8

Values from the calculation:
Its formation energy is 0.52 eV per atom. As for the crystal system: cubic. The electronic total energy is -0.198 Ha/atom. Its relative energy among the computed polymorphs is 427.8 meV per atom.